VASP calculation (PBE) on an optimized crystal structure of KSrRu.

Properties
symmetry: Imm2
size of the total moment: 0.9 μB per formula unit
E_tot: -3.1940 eV per atom
formation energy: 824 meV per atom

a b c (Å): 8.4180 8.4180 8.4180
angles (deg): 156.51 154.03 35.30
Sites, in units of the cell vectors:
K 0.0000 0.0000 0.0000
Sr 0.2441 0.2441 0.0000
Ru 0.6394 0.6394 0.0000